Entry 1:
This record from Alexandria describes an optimized crystal structure of SrRu3Se. The functional is GGA-PBE.

## Properties
density of states at the Fermi level	3.930	states/eV per cell
raw formation energy	2.56	eV/atom

Cell lengths 4.997, 4.997, 4.997 Å; angles 90.00, 90.00, 90.00 degrees
Positions (direct):
Sr: 0.000 0.000 0.000
Ru: 0.000 0.000 0.500
Ru: 0.000 0.500 0.000
Ru: 0.500 0.000 0.000
Se: 0.500 0.500 0.500



Entry 2:
This record from Alexandria describes an optimized crystal structure of Sc2AuBr. The functional is GGA-PBE.

## Properties
density of states at the Fermi level	10.265	states/eV per cell
raw formation energy	-0.52	eV/atom

Cell lengths 6.242, 6.242, 6.242 Å; angles 108.47, 108.47, 111.49 degrees
Positions (direct):
Sc: 0.124 0.625 0.999
Sc: 0.375 0.374 0.499
Sc: 0.626 0.125 0.001
Sc: 0.875 0.876 0.501
Au: 0.000 0.000 0.000
Au: 0.750 0.250 0.500
Br: 0.250 0.750 0.500
Br: 0.500 0.500 0.000



Entry 3:
This record from Alexandria describes an optimized crystal structure of PmPrHo2As4. The functional is GGA-PBE.

## Properties
density of states at the Fermi level	0.846	states/eV per cell
formation enthalpy at 0 K	-1513.4	meV per atom

Cell lengths 7.247, 4.191, 7.255 Å; angles 90.00, 109.49, 90.00 degrees
Positions (direct):
Pm: 0.000 0.000 0.000
Pr: 0.000 0.500 0.500
Ho: 0.500 0.000 0.500
Ho: 0.500 0.500 0.000
As: 0.260 0.500 0.251
As: 0.261 0.000 0.756
As: 0.739 0.000 0.244
As: 0.740 0.500 0.749



Entry 4:
This record from Alexandria describes an optimized crystal structure of Na5InHg4. The functional is GGA-PBE.

## Properties
density of states at the Fermi level	4.927	states/eV per cell
formation enthalpy at 0 K	-210.1	meV per atom

Cell lengths 3.621, 3.621, 19.932 Å; angles 90.00, 90.00, 90.00 degrees
Positions (direct):
Na: 0.000 0.000 0.000
Na: 0.000 0.000 0.195
Na: 0.000 0.000 0.392
Na: 0.000 0.000 0.608
Na: 0.000 0.000 0.805
In: 0.500 0.500 0.500
Hg: 0.500 0.500 0.097
Hg: 0.500 0.500 0.293
Hg: 0.500 0.500 0.707
Hg: 0.500 0.500 0.903



Calculated total energy, record by record: -4.044, -4.922, -6.174, -1.264 eV per atom
Total moment, record by record: 6.26, 0.00, 0.00, 0.00 Bohr magnetons per cell